This record from the Alexandria database describes a relaxed PmPrEr crystal. The functional is PBE-GGA.

Structure (POSCAR):
```
PmPrEr
1.0
3.633 0.000 0.000
0.000 3.633 0.000
-1.817 -1.817 7.672
Pm Pr Er
1 1 1
Cartesian
0.000 0.000 0.041
0.000 0.000 5.086
1.817 1.817 2.544
```

Values from the calculation:
The formation energy comes out at 0.025 eV per atom. The symmetry is I4mm, No. 107. The total magnetic moment comes out at 0.000 μB per atom.